Entry 1:
Material: CoAgO3
Method: DFT, GGA+U
State: relaxed

Structure (extended XYZ):
```
20
Lattice="5.7400 -4.2509 0.0000 5.7400 4.2509 0.0000 -0.6128 0.0000 4.9778" Properties=species:S:1:pos:R:3 pbc="T T T"
Co 5.2804 3.5174 3.7334
Co 5.5868 1.9681 1.2445
Co 5.2804 -1.9681 3.7334
Co 5.5868 -3.5174 1.2445
Ag 2.5888 1.1959 3.6515
Ag 2.8952 -1.1959 1.1626
Ag 7.9720 1.1959 3.8153
Ag 8.2784 -1.1959 1.3264
O 0.6196 0.7254 2.9929
O 4.1186 2.3511 4.5256
O 0.9260 -0.7254 0.5040
O 6.4423 2.3511 2.9411
O 4.9048 0.3611 2.2911
O 4.5984 -0.3611 4.7800
O 6.2688 0.3611 0.1978
O 5.9625 -0.3611 2.6868
O 4.4250 -2.3511 2.0367
O 9.9412 0.7254 4.4738
O 6.7487 -2.3511 0.4522
O 10.2476 -0.7254 1.9849
```

Space-group type: No. 15
DOS(E_F) (states/eV/cell): 4.776
VASP energy (eV per atom): -4.889
Density (Mg/m³): 5.9

=====

Entry 2:
Material: Co5Ag3O12
Method: DFT, GGA+U
State: relaxed

Structure (extended XYZ):
```
80
Lattice="-6.1253 6.1253 6.1253 6.1253 -6.1253 6.1253 6.1253 6.1253 -6.1253" Properties=species:S:1:pos:R:3 pbc="T T T"
Co 0.0000 0.0000 0.0000
Co 3.0626 3.0626 -3.0626
Co 3.0626 -3.0626 3.0626
Co 6.1253 0.0000 0.0000
Co 9.1879 1.5313 0.0000
Co 6.1253 -3.0626 4.5939
Co 4.5939 6.1253 -3.0626
Co 4.5939 0.0000 3.0626
Co 3.0626 4.5939 0.0000
Co 6.1253 3.0626 1.5313
Co -3.0626 3.0626 3.0626
Co 0.0000 6.1253 0.0000
Co 0.0000 0.0000 6.1253
Co 3.0626 3.0626 3.0626
Co 0.0000 3.0626 4.5939
Co 3.0626 1.5313 6.1253
Co 1.5313 6.1253 3.0626
Co 1.5313 0.0000 9.1879
Co 0.0000 9.1879 1.5313
Co -3.0626 4.5939 6.1253
Ag 3.0626 1.5313 0.0000
Ag 6.1253 3.0626 -1.5313
Ag 1.5313 0.0000 3.0626
Ag 7.6566 0.0000 3.0626
Ag 0.0000 3.0626 1.5313
Ag 3.0626 -1.5313 6.1253
Ag 3.0626 7.6566 0.0000
Ag 6.1253 3.0626 4.5939
Ag -1.5313 6.1253 3.0626
Ag 4.5939 6.1253 3.0626
Ag 0.0000 3.0626 7.6566
Ag 3.0626 4.5939 6.1253
O 1.7712 -0.3725 0.5502
O 7.4167 3.6128 -3.4351
O 7.8964 0.3725 0.5502
O 7.4167 -2.5124 3.4351
O 5.7528 -0.5502 1.7712
O 9.5604 -1.2914 2.5124
O 0.5502 1.7712 -0.3725
O 8.6377 2.6902 -1.2914
O 3.6128 3.4351 -1.2914
O 5.5751 1.7712 0.3725
O -0.3725 0.5502 1.7712
O 3.4351 -1.2914 3.6128
O 5.7528 5.5751 -1.7712
O 3.4351 1.2914 2.5124
O 3.6128 -3.4351 7.4167
O 5.5751 -1.7712 5.7528
O 2.5124 3.4351 1.2914
O 6.6754 4.3541 0.3725
O 3.4351 7.4167 -2.5124
O 5.7528 0.5502 4.3541
O 1.7712 5.7528 -0.5502
O 7.4167 2.5124 2.6902
O 1.2914 2.5124 3.4351
O 1.7712 0.3725 5.5751
O 4.3541 5.7528 0.5502
O 4.8338 3.6128 2.6902
O -1.2914 3.6128 3.4351
O 4.3541 0.3725 6.6754
O 0.3725 5.5751 1.7712
O 2.6902 -1.2914 8.6377
O -0.5502 1.7712 5.7528
O 3.6128 2.6902 4.8338
O 0.5502 7.8964 0.3725
O 2.5124 9.5604 -1.2914
O 2.6902 4.8338 3.6128
O 0.3725 0.5502 7.8964
O 2.6902 7.4167 2.5124
O 6.4977 5.5751 4.3541
O 0.5502 4.3541 5.7528
O 2.5124 2.6902 7.4167
O -2.5124 3.4351 7.4167
O 5.5751 4.3541 6.4977
O -3.4351 7.4167 3.6128
O 0.3725 6.6754 4.3541
O -1.2914 8.6377 2.6902
O -1.7712 5.7528 5.5751
O -1.2914 2.5124 9.5604
O 4.3541 6.4977 5.5751
```

Space-group type: No. 230
DOS(E_F) (states/eV/cell): 22.530
VASP energy (eV per atom): -5.100
Density (Mg/m³): 5.9